No. 1
Crystalline HoNpRe at its relaxed geometry. Source: Alexandria via LeMat-Bulk, functional PBE.

Cell lengths 4.491, 4.481, 7.110 Å; angles 90.00, 90.00, 90.00 degrees
Element x y z (fractional)
1 Ho 0.000 0.500 0.299
2 Np 0.500 0.000 0.227
3 Ho 0.500 0.000 0.701
4 Re 0.500 0.500 0.000
5 Re 0.000 0.000 0.000
6 Np 0.000 0.500 0.773

Total moment ... 7.153 Bohr magnetons per cell
Calculated formation energy ... 424 meV/atom

=====

No. 2
Crystalline HoNpRh at its relaxed geometry. Source: Alexandria via LeMat-Bulk, functional PBE.

Cell lengths 4.256, 5.845, 7.158 Å; angles 76.89, 53.53, 90.00 degrees
Element x y z (fractional)
1 Ho 0.176 0.221 0.074
2 Np 0.763 0.627 0.487
3 Ho 0.824 0.779 0.926
4 Rh 0.616 0.077 0.634
5 Rh 0.384 0.923 0.366
6 Np 0.237 0.373 0.513

Total moment ... 5.526 Bohr magnetons per cell
Calculated formation energy ... -377 meV/atom

=====

No. 3
Crystalline HoNpRh6 at its relaxed geometry. Source: Alexandria via LeMat-Bulk, functional PBE.

Cell lengths 4.029, 4.029, 8.032 Å; angles 90.00, 90.00, 90.00 degrees
Element x y z (fractional)
1 Rh 0.500 0.000 0.739
2 Rh 0.500 0.500 0.500
3 Rh 0.500 0.500 0.000
4 Rh 0.000 0.500 0.261
5 Rh 0.000 0.500 0.739
6 Ho 0.000 0.000 0.000
7 Rh 0.500 0.000 0.261
8 Np 0.000 0.000 0.500

Total moment ... 1.178 Bohr magnetons per cell
Calculated formation energy ... -507 meV/atom

=====

No. 4
Crystalline HoNpRh4 at its relaxed geometry. Source: Alexandria via LeMat-Bulk, functional PBE.

Cell lengths 5.320, 5.320, 5.320 Å; angles 60.00, 60.00, 60.00 degrees
Element x y z (fractional)
1 Ho 0.000 0.000 0.000
2 Rh 0.625 0.125 0.625
3 Rh 0.125 0.625 0.625
4 Np 0.250 0.250 0.250
5 Rh 0.625 0.625 0.125
6 Rh 0.625 0.625 0.625

Total moment ... 3.537 Bohr magnetons per cell
Calculated formation energy ... -518 meV/atom

=====

No. 5
Crystalline HoNpRuRh at its relaxed geometry. Source: Alexandria via LeMat-Bulk, functional PBE.

Cell lengths 4.797, 4.797, 4.797 Å; angles 60.00, 60.00, 60.00 degrees
Element x y z (fractional)
1 Np 0.000 0.000 0.000
2 Ho 0.500 0.500 0.500
3 Rh 0.750 0.750 0.750
4 Ru 0.250 0.250 0.250

Total moment ... 3.226 Bohr magnetons per cell
Calculated formation energy ... -355 meV/atom

=====

No. 6
Crystalline Ho3NpRu4 at its relaxed geometry. Source: Alexandria via LeMat-Bulk, functional PBE.

Cell lengths 3.381, 4.871, 9.430 Å; angles 90.00, 90.00, 90.00 degrees
Element x y z (fractional)
1 Np 0.500 0.500 0.000
2 Ho 0.500 0.000 0.254
3 Ru 0.000 0.000 0.500
4 Ru 0.000 0.000 0.000
5 Ru 0.000 0.500 0.778
6 Ru 0.000 0.500 0.222
7 Ho 0.500 0.000 0.746
8 Ho 0.500 0.500 0.500

Total moment ... 1.982 Bohr magnetons per cell
Calculated formation energy ... -330 meV/atom